## Li7MgTl2 (PBE)

Data for a relaxed Li7MgTl2 crystal.

Energy = -1.876 eV per atom
Formation enthalpy at 0 K = 0.10 eV per atom
Polymorph energy (0 for the lowest one) = 0.2055 eV per atom

a b c (Å): 4.936 8.019 8.019
angles (deg): 127.08 90.00 90.00
Fractional positions:
Li 0.500 0.286 0.067
Li 0.500 0.500 0.500
Mg 0.000 0.000 0.000
Li 0.000 0.789 0.211
Tl 0.500 0.294 0.706
Li 0.000 0.211 0.789
Li 0.500 0.067 0.286
Li 0.500 0.714 0.933
Tl 0.500 0.706 0.294
Li 0.500 0.933 0.714